1.
{"formula": "CuHgPb2", "functional": "meta-GGA SCAN", "state": "PBEsol geometry", "lattice_angstrom": [[12.318, 0.000, 0.000], [0.000, 3.320, 0.000], [-1.995, 0.000, 4.584]], "species": ["Cu", "Cu", "Hg", "Hg", "Pb", "Pb", "Pb", "Pb"], "frac_coords": [[0.000, 0.000, 0.000], [0.500, 0.500, 0.000], [0.307, 0.000, 0.803], [0.807, 0.500, 0.803], [0.000, 0.500, 0.498], [0.206, 0.500, 0.201], [0.500, 0.000, 0.498], [0.706, 0.000, 0.201]], "sg": "No. 8", "final_energy_ev_per_fu": -234.13}

---

2.
{"formula": "AlHgW2", "functional": "meta-GGA SCAN", "state": "PBEsol geometry", "lattice_angstrom": [[2.765, 0.000, 0.000], [0.000, 4.109, 0.000], [0.000, 0.000, 5.871]], "species": ["Al", "Hg", "W", "W"], "frac_coords": [[0.000, 0.000, 0.000], [0.500, 0.500, 0.252], [0.000, 0.000, 0.538], [0.500, 0.500, 0.753]], "sg": "No. 25", "relative_energy_mev_per_atom": 84}

---

3.
{"formula": "LiLaZn4", "functional": "meta-GGA SCAN", "state": "PBEsol geometry", "lattice_angstrom": [[0.000, 3.788, 3.788], [3.788, 0.000, 3.788], [3.788, 3.788, 0.000]], "species": ["Li", "La", "Zn", "Zn", "Zn", "Zn"], "frac_coords": [[0.000, 0.000, 0.000], [0.250, 0.250, 0.250], [0.123, 0.626, 0.626], [0.626, 0.123, 0.626], [0.626, 0.626, 0.123], [0.626, 0.626, 0.626]], "sg": "No. 216", "final_energy_ev_per_fu": -101.25}

---

4.
{"formula": "Si2IrSe", "functional": "meta-GGA SCAN", "state": "PBEsol geometry", "lattice_angstrom": [[5.014, 0.000, 0.000], [0.000, 5.014, 0.000], [0.000, 0.000, 5.106]], "species": ["Si", "Si", "Si", "Si", "Ir", "Ir", "Se", "Se"], "frac_coords": [[0.000, 0.500, 0.000], [0.000, 0.500, 0.500], [0.500, 0.000, 0.000], [0.500, 0.000, 0.500], [0.000, 0.000, 0.000], [0.500, 0.500, 0.500], [0.000, 0.000, 0.500], [0.500, 0.500, 0.000]], "sg": "No. 139", "e_form_raw_ev_per_fu": 0.67}

---

5.
{"formula": "BaTe2Se2", "functional": "meta-GGA SCAN", "state": "PBEsol geometry", "lattice_angstrom": [[8.497, 0.000, 0.000], [0.000, 8.497, 0.000], [0.000, 0.000, 4.033]], "species": ["Ba", "Ba", "Te", "Te", "Te", "Te", "Se", "Se", "Se", "Se"], "frac_coords": [[0.000, 0.000, 0.000], [0.500, 0.500, 0.000], [0.122, 0.378, 0.000], [0.378, 0.878, 0.000], [0.622, 0.122, 0.000], [0.878, 0.622, 0.000], [0.206, 0.706, 0.500], [0.294, 0.206, 0.500], [0.706, 0.794, 0.500], [0.794, 0.294, 0.500]], "sg": "No. 127", "e_form_raw_ev_per_fu": -3.12}

---

6.
{"formula": "Na3BW", "functional": "meta-GGA SCAN", "state": "PBEsol geometry", "lattice_angstrom": [[5.759, 0.000, 0.000], [0.000, 5.759, 0.000], [0.000, 0.000, 5.759]], "species": ["Na", "Na", "Na", "B", "W"], "frac_coords": [[0.000, 0.000, 0.500], [0.000, 0.500, 0.000], [0.500, 0.000, 0.000], [0.500, 0.500, 0.500], [0.000, 0.000, 0.000]], "sg": "No. 221", "final_energy_ev_per_fu": -77.29}

---

7.
{"formula": "NaWSCl2", "functional": "meta-GGA SCAN", "state": "PBEsol geometry", "lattice_angstrom": [[4.593, 0.000, 0.000], [0.000, 4.593, 0.000], [0.000, 0.000, 5.038]], "species": ["Na", "W", "S", "Cl", "Cl"], "frac_coords": [[0.000, 0.000, 0.000], [0.500, 0.500, 0.500], [0.000, 0.000, 0.500], [0.000, 0.500, 0.000], [0.500, 0.000, 0.000]], "sg": "No. 123", "relative_energy_mev_per_atom": 1426, "e_form_raw_ev_per_fu": 4.28}

---

8.
{"formula": "Zr2CrW", "functional": "meta-GGA SCAN", "state": "PBEsol geometry", "lattice_angstrom": [[6.577, 0.000, 0.000], [0.000, 6.577, 0.000], [0.000, 0.000, 6.577]], "species": ["Zr", "Zr", "Zr", "Zr", "Zr", "Zr", "Zr", "Zr", "Cr", "Cr", "Cr", "Cr", "W", "W", "W", "W"], "frac_coords": [[0.250, 0.250, 0.250], [0.250, 0.250, 0.750], [0.250, 0.750, 0.250], [0.250, 0.750, 0.750], [0.750, 0.250, 0.250], [0.750, 0.250, 0.750], [0.750, 0.750, 0.250], [0.750, 0.750, 0.750], [0.000, 0.000, 0.000], [0.000, 0.500, 0.500], [0.500, 0.000, 0.500], [0.500, 0.500, 0.000], [0.000, 0.000, 0.500], [0.000, 0.500, 0.000], [0.500, 0.000, 0.000], [0.500, 0.500, 0.500]], "sg": "No. 225", "final_energy_ev_per_fu": -149.08}

---

9.
{"formula": "Be3Ir", "functional": "meta-GGA SCAN", "state": "PBEsol geometry", "lattice_angstrom": [[2.878, 0.000, 0.000], [0.000, 3.583, 0.000], [0.000, 0.000, 7.355]], "species": ["Be", "Be", "Be", "Be", "Be", "Be", "Ir", "Ir"], "frac_coords": [[0.000, 0.000, 0.000], [0.000, 0.500, 0.255], [0.000, 0.500, 0.745], [0.500, 0.000, 0.245], [0.500, 0.000, 0.755], [0.500, 0.500, 0.500], [0.000, 0.000, 0.500], [0.500, 0.500, 0.000]], "sg": "No. 71", "final_energy_ev_per_fu": -86.78}

---

10.
{"formula": "P2W7O25", "functional": "meta-GGA SCAN", "state": "PBEsol geometry", "lattice_angstrom": [[5.356, 0.000, 0.000], [0.000, 6.619, 0.000], [-5.350, 0.000, 26.862]], "species": ["P", "P", "P", "P", "W", "W", "W", "W", "W", "W", "W", "W", "W", "W", "W", "W", "W", "W", "O", "O", "O", "O", "O", "O", "O", "O", "O", "O", "O", "O", "O", "O", "O", "O", "O", "O", "O", "O", "O", "O", "O", "O", "O", "O", "O", "O", "O", "O", "O", "O", "O", "O", "O", "O", "O", "O", "O", "O", "O", "O", "O", "O", "O", "O", "O", "O", "O", "O"], "frac_coords": [[0.208, 0.195, 0.209], [0.208, 0.305, 0.709], [0.792, 0.695, 0.291], [0.792, 0.805, 0.791], [0.000, 0.000, 0.500], [0.000, 0.500, 0.000], [0.114, 0.662, 0.614], [0.114, 0.838, 0.114], [0.330, 0.003, 0.329], [0.330, 0.497, 0.829], [0.444, 0.669, 0.444], [0.444, 0.831, 0.944], [0.556, 0.169, 0.056], [0.556, 0.331, 0.556], [0.670, 0.503, 0.171], [0.670, 0.997, 0.671], [0.886, 0.162, 0.886], [0.886, 0.338, 0.386], [0.038, 0.681, 0.800], [0.038, 0.819, 0.300], [0.060, 0.666, 0.060], [0.060, 0.834, 0.560], [0.104, 0.168, 0.352], [0.104, 0.332, 0.852], [0.163, 0.000, 0.912], [0.163, 0.500, 0.412], [0.176, 0.005, 0.176], [0.176, 0.495, 0.676], [0.220, 0.669, 0.971], [0.220, 0.831, 0.471], [0.264, 0.133, 0.264], [0.264, 0.367, 0.764], [0.278, 0.168, 0.528], [0.278, 0.332, 0.028], [0.337, 0.000, 0.088], [0.337, 0.500, 0.588], [0.385, 0.659, 0.885], [0.385, 0.841, 0.385], [0.400, 0.669, 0.147], [0.400, 0.831, 0.647], [0.435, 0.180, 0.699], [0.435, 0.320, 0.199], [0.500, 0.000, 0.000], [0.500, 0.500, 0.500], [0.565, 0.680, 0.801], [0.565, 0.820, 0.301], [0.600, 0.169, 0.353], [0.600, 0.331, 0.853], [0.615, 0.159, 0.615], [0.615, 0.341, 0.115], [0.663, 0.000, 0.912], [0.663, 0.500, 0.412], [0.722, 0.668, 0.972], [0.722, 0.832, 0.472], [0.736, 0.633, 0.236], [0.736, 0.867, 0.736], [0.780, 0.169, 0.529], [0.780, 0.331, 0.029], [0.824, 0.505, 0.324], [0.824, 0.995, 0.824], [0.837, 0.000, 0.088], [0.837, 0.500, 0.588], [0.896, 0.668, 0.148], [0.896, 0.832, 0.648], [0.940, 0.166, 0.440], [0.940, 0.334, 0.940], [0.962, 0.181, 0.700], [0.962, 0.319, 0.200]], "sg": "No. 14", "e_form_raw_ev_per_fu": -77.82}

---

11.
{"formula": "CdSeCl2", "functional": "meta-GGA SCAN", "state": "PBEsol geometry", "lattice_angstrom": [[3.463, 0.000, 0.000], [-1.731, 2.999, 0.000], [0.000, 0.000, 30.840]], "species": ["Cd", "Cd", "Cd", "Se", "Se", "Se", "Cl", "Cl", "Cl", "Cl", "Cl", "Cl"], "frac_coords": [[0.000, 0.000, 0.000], [0.333, 0.667, 0.667], [0.667, 0.333, 0.333], [0.000, 0.000, 0.500], [0.333, 0.667, 0.167], [0.667, 0.333, 0.833], [0.000, 0.000, 0.280], [0.000, 0.000, 0.720], [0.333, 0.667, 0.386], [0.333, 0.667, 0.947], [0.667, 0.333, 0.053], [0.667, 0.333, 0.614]], "sg": "No. 166", "relative_energy_mev_per_atom": 0, "e_form_raw_ev_per_fu": -1.62}

---

12.
{"formula": "TiWN3", "functional": "meta-GGA SCAN", "state": "PBEsol geometry", "lattice_angstrom": [[3.885, 0.000, 0.000], [0.000, 3.885, 0.000], [0.000, 0.000, 3.885]], "species": ["Ti", "W", "N", "N", "N"], "frac_coords": [[0.000, 0.000, 0.000], [0.500, 0.500, 0.500], [0.000, 0.500, 0.500], [0.500, 0.000, 0.500], [0.500, 0.500, 0.000]], "sg": "No. 221", "e_form_raw_ev_per_fu": -0.32}

---

no.,D(E_F) (states/eV/cell)
1,3.29
2,3.32
3,3.52
4,2.70
5,3.28
6,4.63
7,5.87
8,12.04
9,1.07
10,11.09
11,5.28
12,3.12